# 1
Compound: Ca2InCuO5
Source: Alexandria
Functional: PBE
Structure: relaxed

Unit cell a=3.295 b=6.708 c=10.685 alpha=90.00 beta=90.00 gamma=104.22
Element x y z (fractional)
Ca 0.856 0.713 0.806
Ca 0.091 0.182 0.678
Ca 0.144 0.287 0.306
Ca 0.909 0.818 0.178
In 0.788 0.575 0.528
In 0.212 0.425 0.028
Cu 0.525 0.050 0.944
Cu 0.475 0.950 0.444
O 0.377 0.754 0.986
O 0.672 0.344 0.896
O 0.488 0.976 0.772
O 0.269 0.537 0.667
O 0.951 0.903 0.548
O 0.623 0.246 0.486
O 0.328 0.656 0.396
O 0.512 0.024 0.272
O 0.731 0.463 0.167
O 0.049 0.097 0.048

E_form (uncorrected) ... -1806 meV per atom

# 2
Compound: LaYBe2
Source: Alexandria
Functional: PBE
Structure: relaxed

Unit cell a=4.019 b=3.548 c=6.481 alpha=74.16 beta=90.00 gamma=90.00
Element x y z (fractional)
Y 0.500 0.766 0.845
Be 0.000 0.170 0.034
Be 0.500 0.091 0.194
La 0.000 0.474 0.427

DFT formation energy ... 11.6 kJ/mol of atoms
Relative energy among the computed polymorphs ... 0.024 eV/atom

| no. | ρ (Mg/m³) |
| --- | --- |
| 1 | 4.9 |
| 2 | 4.6 |